16
Lattice="-4.250 3.979 -1.791 1.977 -2.972 -4.935 -4.209 -5.576 3.990" Properties=species:S:1:pos:R:3 comment="PaCoPbO5 | the Alexandria database | PBE+U | optimized geometry" total_energy_ev_per_atom=-7.507 vol_a3_per_cell=261 pbc="T T T"
Pa -2.104 -2.788 1.995
Pa 0.000 0.000 0.000
Co -3.316 0.367 -1.796
Co -3.166 -4.937 -0.939
Pb -1.165 -2.033 -2.882
Pb -5.316 -2.536 0.147
O 0.415 -3.797 -3.680
O -6.896 -0.773 0.945
O -3.714 2.009 -2.627
O -2.767 -6.578 -0.109
O -4.366 0.343 -0.234
O -2.116 -4.912 -2.502
O -3.618 -1.202 -2.772
O -2.864 -3.367 0.036
O -1.460 0.203 -1.605
O -5.021 -4.772 -1.131